1.
## BeC2N (PBE)

Data for a geometry-optimized BeC2N structure.

Output
The calculation puts the formation energy from raw total energies at 0.250 eV per atom. The energy above the most stable polymorph in this dataset comes out at 0.44 eV/f.u. The total magnetization comes out at 0.0 μB/f.u. The value obtained for the density of states at the Fermi level is 1.15 states/eV/cell.

Lattice parameters (Å, degrees): 2.378 2.947 9.054 90.00 90.00 90.00
Element x y z (fractional)
Be: 0.000 0.000 0.000
Be: 0.000 0.500 0.500
C: 0.000 0.000 0.749
C: 0.000 0.500 0.249
C: 0.500 0.000 0.834
C: 0.500 0.500 0.334
N: 0.000 0.000 0.597
N: 0.000 0.500 0.097

***

2.
## Sm8C3Br4N (PBE)

Data for a geometry-optimized Sm8C3Br4N structure.

Output
The calculation puts the formation energy from raw total energies at -1.049 eV per atom. The total magnetization comes out at 0.0 μB/f.u. The value obtained for the density of states at the Fermi level is 6.66 states/eV/cell.

Lattice parameters (Å, degrees): 8.482 8.482 8.482 52.38 52.38 52.38
Element x y z (fractional)
Sm: 0.228 0.228 0.228
Sm: 0.229 0.726 0.726
Sm: 0.274 0.274 0.771
Sm: 0.274 0.771 0.274
Sm: 0.726 0.229 0.726
Sm: 0.726 0.726 0.229
Sm: 0.771 0.274 0.274
Sm: 0.772 0.772 0.772
C: 0.000 0.000 0.500
C: 0.000 0.500 0.000
C: 0.500 0.000 0.000
Br: 0.000 0.000 0.000
Br: 0.000 0.500 0.500
Br: 0.500 0.000 0.500
Br: 0.500 0.500 0.000
N: 0.500 0.500 0.500

***

3.
## Dy12Tl6H (PBE)

Data for a geometry-optimized Dy12Tl6H structure.

Output
The total energy comes out at -3.995 eV/atom. The total magnetization comes out at 0.0 μB/f.u. The value obtained for the density of states at the Fermi level is 16.23 states/eV/cell.

Lattice parameters (Å, degrees): 8.199 8.199 8.199 94.51 94.51 94.51
Element x y z (fractional)
Dy: 0.030 0.923 0.699
Dy: 0.077 0.301 0.970
Dy: 0.199 0.419 0.532
Dy: 0.301 0.970 0.077
Dy: 0.419 0.532 0.199
Dy: 0.468 0.801 0.581
Dy: 0.532 0.199 0.419
Dy: 0.581 0.468 0.801
Dy: 0.699 0.030 0.923
Dy: 0.801 0.581 0.468
Dy: 0.923 0.699 0.030
Dy: 0.970 0.077 0.301
Tl: 0.144 0.747 0.355
Tl: 0.253 0.645 0.856
Tl: 0.355 0.144 0.747
Tl: 0.645 0.856 0.253
Tl: 0.747 0.355 0.144
Tl: 0.856 0.253 0.645
H: 0.500 0.500 0.500

***

4.
## V2As2Cl (PBE)

Data for a geometry-optimized V2As2Cl structure.

Output
The calculation puts the formation energy from raw total energies at 0.047 eV per atom. The energy above the most stable polymorph in this dataset comes out at 0.79 eV/f.u. The total magnetization comes out at 1.9 μB/f.u. The value obtained for the density of states at the Fermi level is 9.41 states/eV/cell.

Lattice parameters (Å, degrees): 7.506 7.506 3.019 90.00 90.00 90.00
Element x y z (fractional)
V: 0.144 0.356 0.000
V: 0.356 0.856 0.000
V: 0.644 0.144 0.000
V: 0.856 0.644 0.000
As: 0.138 0.638 0.500
As: 0.362 0.138 0.500
As: 0.638 0.862 0.500
As: 0.862 0.362 0.500
Cl: 0.000 0.000 0.500
Cl: 0.500 0.500 0.500

***

5.
## KRbOsI2 (PBE)

Data for a geometry-optimized KRbOsI2 structure.

Output
The calculation puts the formation energy from raw total energies at 0.731 eV per atom. The total magnetization comes out at 4.0 μB/f.u. The value obtained for the density of states at the Fermi level is 7.59 states/eV/cell.

Lattice parameters (Å, degrees): 6.897 6.897 6.244 90.00 90.00 90.00
Element x y z (fractional)
K: 0.000 0.000 0.000
Rb: 0.500 0.500 0.500
Os: 0.500 0.500 0.000
I: 0.000 0.500 0.500
I: 0.500 0.000 0.500

***

6.
## SrSi4Ir2 (PBE)

Data for a geometry-optimized SrSi4Ir2 structure.

Output
The calculation puts the formation energy from raw total energies at -0.557 eV per atom. The total magnetization comes out at 0.0 μB/f.u. The value obtained for the density of states at the Fermi level is 10.63 states/eV/cell.

Lattice parameters (Å, degrees): 17.043 4.222 6.444 90.00 90.00 90.00
Element x y z (fractional)
Sr: 0.141 0.250 0.005
Sr: 0.359 0.750 0.505
Sr: 0.641 0.250 0.495
Sr: 0.859 0.750 0.995
Si: 0.032 0.750 0.140
Si: 0.068 0.250 0.538
Si: 0.183 0.750 0.689
Si: 0.194 0.750 0.287
Si: 0.306 0.250 0.787
Si: 0.317 0.250 0.189
Si: 0.432 0.750 0.038
Si: 0.468 0.250 0.640
Si: 0.532 0.750 0.360
Si: 0.568 0.250 0.962
Si: 0.683 0.750 0.811
Si: 0.694 0.750 0.213
Si: 0.806 0.250 0.713
Si: 0.817 0.250 0.311
Si: 0.932 0.750 0.462
Si: 0.968 0.250 0.860
Ir: 0.033 0.750 0.741
Ir: 0.211 0.250 0.489
Ir: 0.289 0.750 0.989
Ir: 0.467 0.250 0.241
Ir: 0.533 0.750 0.759
Ir: 0.711 0.250 0.011
Ir: 0.789 0.750 0.511
Ir: 0.967 0.250 0.259